Entry 1:
VASP calculation (GGA-PBEsol) on an optimized crystal structure of ZrCdMo2.

Energy of formation, eV/atom: 0.335
Total DFT energy (no corrections), eV per atom: -8.12

Cell lengths 3.441, 4.481, 9.154 Å; angles 90.00, 90.00, 90.00 degrees
Space group Immm (No. 71)
Unique sites:
Zr 0.000 0.000 0.000
Cd 0.000 0.000 0.500
Mo 0.000 0.500 0.256

=====

Entry 2:
VASP calculation (GGA-PBEsol) on an optimized crystal structure of La4Zn.

Energy of formation, eV/atom: -0.045
Total DFT energy (no corrections), eV per atom: -4.64

Cell lengths 7.738, 7.738, 4.846 Å; angles 90.00, 90.00, 90.00 degrees
Space group I4/m (No. 87)
Unique sites:
La 0.113 0.704 0.000
Zn 0.000 0.000 0.500

=====

Entry 3:
VASP calculation (GGA-PBEsol) on an optimized crystal structure of MoIrRu2.

Offset from the most stable computed form, meV per atom: 24.6
Energy of formation, eV/atom: -0.149
Total DFT energy (no corrections), eV per atom: -10.63

Cell lengths 3.823, 3.823, 3.807 Å; angles 90.00, 90.00, 90.00 degrees
Space group P4/mmm (No. 123)
Unique sites:
Mo 0.000 0.000 0.000
Ir 0.500 0.500 0.000
Ru 0.000 0.500 0.500

=====

energy of formation of number 1 (ZrCdMo2)? 0.335 eV/atom